[1]
Here is a geometry-optimized Sr2CaNiTe structure from the Alexandria database. Energies are from PBE-GGA.

a = 5.6903 Å, b = 5.6903 Å, c = 5.3241 Å
α = 90.00°, β = 90.00°, γ = 90.00°
Fractional positions:
Te: 0.5000 0.5000 0.5000
Ca: 0.0000 0.0000 0.5000
Sr: 0.0000 0.5000 0.0000
Sr: 0.5000 0.0000 0.0000
Ni: 0.0000 0.0000 0.0000

Summary:
E_form (uncorrected) in eV/atom: -0.42
Symmetry: P4/mmm (123)
VASP energy in eV/f.u.: -16.4

[2]
Here is a geometry-optimized Er2ZnSi structure from the Alexandria database. Energies are from PBE-GGA.

a = 3.6265 Å, b = 4.8441 Å, c = 4.8441 Å
α = 90.00°, β = 90.00°, γ = 90.00°
Fractional positions:
Si: 0.5000 0.0000 0.0000
Er: 0.0000 0.5000 0.0000
Er: 0.0000 0.0000 0.5000
Zn: 0.5000 0.5000 0.5000

Summary:
E_form (uncorrected) in eV/atom: -0.47
Symmetry: P4/mmm (123)
VASP energy in eV/f.u.: -17.7

[3]
Here is a geometry-optimized DyCuTcGe2 structure from the Alexandria database. Energies are from PBE-GGA.

a = 4.0523 Å, b = 4.0523 Å, c = 6.1015 Å
α = 109.39°, β = 109.39°, γ = 90.00°
Fractional positions:
Dy: 0.0000 0.0000 0.0000
Ge: 0.3807 0.3807 0.7614
Ge: 0.6193 0.6193 0.2386
Cu: 0.2500 0.7500 0.5000
Tc: 0.7500 0.2500 0.5000

Summary:
Symmetry: I-4m2 (119)
VASP energy in eV/f.u.: -30.3
Energy of formation in eV per atom: -0.396

[4]
Here is a geometry-optimized SrBe2Sb structure from the Alexandria database. Energies are from PBE-GGA.

a = 3.5486 Å, b = 3.5483 Å, c = 6.7695 Å
α = 90.00°, β = 90.00°, γ = 90.00°
Fractional positions:
Be: 0.0000 0.0000 0.0874
Be: 0.0000 0.0000 0.4126
Sr: 0.5000 0.5000 0.7500
Sb: 0.5000 0.5000 0.2500

Summary:
E_form (uncorrected) in eV/atom: 0.33
Symmetry: P4/mmm (123)
VASP energy in eV/f.u.: -11.9